Record 1
# La2CrSi

Crystalline La2CrSi at its relaxed geometry (PBE, the Alexandria database).

Cell: 3.418 3.418 8.311 Å, 90.00 90.00 90.00°
Sites, in units of the cell vectors:
Cr: 0.500 0.500 0.657
La: 0.000 0.000 0.925
La: 0.500 0.500 0.346
Si: 0.000 0.000 0.571

Calculated values
Theoretical density = 6.12 Mg/m³
Formation energy without anion corrections = -0.002 eV/atom
Fermi-level density of states = 0.97 states/eV/atom

***

Record 2
# Nd3Ge6IrPt2

Crystalline Nd3Ge6IrPt2 at its relaxed geometry (PBE, the Alexandria database).

Cell: 6.026 6.026 8.039 Å, 90.00 90.00 120.00°
Sites, in units of the cell vectors:
Nd: 0.333 0.667 0.649
Nd: 0.667 0.333 0.351
Nd: 0.000 0.000 0.000
Ge: 0.621 0.811 0.297
Ge: 0.189 0.379 0.297
Ge: 0.189 0.811 0.297
Ge: 0.811 0.621 0.703
Ge: 0.379 0.189 0.703
Ge: 0.811 0.189 0.703
Ir: 0.000 0.000 0.500
Pt: 0.667 0.333 0.970
Pt: 0.333 0.667 0.030

Calculated values
Total energy = -5.66 eV/atom
Theoretical density = 9.53 Mg/m³
Fermi-level density of states = 0.69 states/eV/atom

***

Record 3
# Li2InPt2

Crystalline Li2InPt2 at its relaxed geometry (PBE, the Alexandria database).

Cell: 7.224 7.224 2.995 Å, 90.00 90.00 90.00°
Sites, in units of the cell vectors:
Li: 0.155 0.655 0.500
Li: 0.655 0.845 0.500
Li: 0.845 0.345 0.500
Li: 0.345 0.155 0.500
Pt: 0.359 0.859 0.000
Pt: 0.859 0.641 0.000
Pt: 0.641 0.141 0.000
Pt: 0.141 0.359 0.000
In: 0.000 0.000 0.000
In: 0.500 0.500 0.000

Calculated values
Offset from the most stable computed form = 0.359 eV/f.u.
Theoretical density = 11.02 Mg/m³
Fermi-level density of states = 0.31 states/eV/atom

***

Record 4
# Ho3C4

Crystalline Ho3C4 at its relaxed geometry (PBE, the Alexandria database).

Cell: 8.062 8.062 15.942 Å, 90.00 90.00 90.00°
Sites, in units of the cell vectors:
Ho: 0.500 0.500 0.500
Ho: 0.000 0.000 0.000
Ho: 0.500 0.500 0.187
Ho: 0.000 0.000 0.687
Ho: 0.500 0.500 0.813
Ho: 0.000 0.000 0.313
Ho: 0.703 0.904 0.500
Ho: 0.297 0.096 0.500
Ho: 0.797 0.404 0.000
Ho: 0.203 0.596 0.000
Ho: 0.904 0.297 0.500
Ho: 0.096 0.703 0.500
Ho: 0.404 0.203 0.000
Ho: 0.596 0.797 0.000
Ho: 0.789 0.600 0.353
Ho: 0.211 0.400 0.353
Ho: 0.711 0.100 0.853
Ho: 0.289 0.900 0.853
Ho: 0.600 0.211 0.353
Ho: 0.400 0.789 0.353
Ho: 0.100 0.289 0.853
Ho: 0.900 0.711 0.853
Ho: 0.211 0.400 0.647
Ho: 0.789 0.600 0.647
Ho: 0.289 0.900 0.147
Ho: 0.711 0.100 0.147
Ho: 0.400 0.789 0.647
Ho: 0.600 0.211 0.647
Ho: 0.900 0.711 0.147
Ho: 0.100 0.289 0.147
C: 0.500 0.500 0.959
C: 0.000 0.000 0.459
C: 0.500 0.500 0.041
C: 0.000 0.000 0.541
C: 0.500 0.500 0.343
C: 0.000 0.000 0.843
C: 0.500 0.500 0.657
C: 0.000 0.000 0.157
C: 0.606 0.196 0.500
C: 0.394 0.804 0.500
C: 0.894 0.696 0.000
C: 0.106 0.304 0.000
C: 0.196 0.394 0.500
C: 0.804 0.606 0.500
C: 0.696 0.106 0.000
C: 0.304 0.894 0.000
C: 0.694 0.901 0.328
C: 0.306 0.099 0.328
C: 0.806 0.401 0.828
C: 0.194 0.599 0.828
C: 0.901 0.306 0.328
C: 0.099 0.694 0.328
C: 0.401 0.194 0.828
C: 0.599 0.806 0.828
C: 0.306 0.099 0.672
C: 0.694 0.901 0.672
C: 0.194 0.599 0.172
C: 0.806 0.401 0.172
C: 0.099 0.694 0.672
C: 0.901 0.306 0.672
C: 0.599 0.806 0.172
C: 0.401 0.194 0.172
C: 0.651 0.849 0.250
C: 0.349 0.151 0.250
C: 0.849 0.349 0.750
C: 0.151 0.651 0.750
C: 0.849 0.349 0.250
C: 0.151 0.651 0.250
C: 0.349 0.151 0.750
C: 0.651 0.849 0.750

Calculated values
Total energy = -7.57 eV/atom
Theoretical density = 8.70 Mg/m³
Fermi-level density of states = 0.15 states/eV/atom

***

Record 5
# RbCaTeO4

Crystalline RbCaTeO4 at its relaxed geometry (PBE, the Alexandria database).

Cell: 6.015 6.171 8.498 Å, 90.00 110.49 90.00°
Last column: magnetic moment on the atom in μB.
Sites, in units of the cell vectors:
Rb: 0.396 0.750 0.845  0.00
Rb: 0.604 0.250 0.155  0.00
Ca: 0.789 0.750 0.467  0.01
Ca: 0.211 0.250 0.533  0.01
Te: 0.206 0.750 0.297  0.14
Te: 0.794 0.250 0.703  0.14
O: 0.986 0.486 0.671  0.16
O: 0.014 0.986 0.329  0.16
O: 0.014 0.514 0.329  0.16
O: 0.986 0.014 0.671  0.16
O: 0.465 0.750 0.201  0.29
O: 0.535 0.250 0.799  0.29
O: 0.428 0.750 0.518  0.00
O: 0.572 0.250 0.482  0.00

Calculated values
Theoretical density = 3.56 Mg/m³
Formation energy without anion corrections = -1.706 eV/atom
Fermi-level density of states = 0.28 states/eV/atom

***

Record 6
# SmErZn

Crystalline SmErZn at its relaxed geometry (PBE, the Alexandria database).

Cell: 4.972 4.973 4.972 Å, 89.98 120.02 120.03°
Sites, in units of the cell vectors:
Sm: 0.945 0.472 0.417
Er: 0.944 0.972 0.917
Zn: 0.444 0.222 0.667

Calculated values
Offset from the most stable computed form = 0.701 eV/f.u.
Theoretical density = 7.32 Mg/m³
Fermi-level density of states = 1.44 states/eV/atom